# CeAl4Pd2Au PBE optimized geometry
# Calculated total energy = -0.1811 hartree per atom
data_CeAl4Pd2Au
_chemical_formula_sum 'Ce3 Al12 Pd6 Au3'
_cell_length_a 4.3055
_cell_length_b 4.3055
_cell_length_c 27.3851
_cell_angle_alpha 90.00
_cell_angle_beta 90.00
_cell_angle_gamma 120.00
_space_group_name_H-M_alt 'R -3 m'
_space_group_IT_number 166
_space_group_name_Hall '-R 3 2"'
loop_
_atom_site_label
_atom_site_fract_x
_atom_site_fract_y
_atom_site_fract_z
_atom_site_occupancy
Ce1 0.0000 0.0000 0.0000 1
Al1 0.0000 0.0000 0.1259 1
Al2 0.0000 0.0000 0.4022 1
Pd1 0.0000 0.0000 0.2431 1
Au1 0.0000 0.0000 0.5000 1